Zr2Zn2Tc | PBE | relaxed

a = 6.901 Å, b = 6.901 Å, c = 3.730 Å
α = 90.00°, β = 90.00°, γ = 90.00°
Atoms (fractional coordinates):
Zr (0.182, 0.318, 0.000)
Zr (0.318, 0.818, 0.000)
Zr (0.682, 0.182, 0.000)
Zr (0.818, 0.682, 0.000)
Zn (0.124, 0.624, 0.500)
Zn (0.376, 0.124, 0.500)
Zn (0.624, 0.876, 0.500)
Zn (0.876, 0.376, 0.500)
Tc (0.000, 0.000, 0.500)
Tc (0.500, 0.500, 0.500)

Calculated values
- Formation enthalpy at 0 K: -118 meV/atom
- Density of states at the Fermi level: 11.7 states/eV per cell
- Energy relative to the lowest polymorph listed for this composition: 8.87 kJ/mol of atoms


Ba2InPd | PBE | relaxed

a = 4.092 Å, b = 4.092 Å, c = 8.184 Å
α = 90.00°, β = 90.00°, γ = 90.00°
Atoms (fractional coordinates):
Ba (0.000, 0.000, 0.228)
Ba (0.000, 0.000, 0.772)
In (0.500, 0.500, 0.500)
Pd (0.500, 0.500, 0.000)

Calculated values
- Formation enthalpy at 0 K: -392 meV/atom
- Density of states at the Fermi level: 3.6 states/eV per cell


Ca2C | PBE | relaxed

a = 4.449 Å, b = 4.449 Å, c = 4.449 Å
α = 60.00°, β = 60.00°, γ = 60.00°
Atoms (fractional coordinates):
Ca (0.250, 0.250, 0.250)
Ca (0.750, 0.750, 0.750)
C (0.000, 0.000, 0.000)

Calculated values
- Formation enthalpy at 0 K: 340 meV/atom
- Density of states at the Fermi level: 0.1 states/eV per cell
- Energy relative to the lowest polymorph listed for this composition: 29.51 kJ/mol of atoms


AsPdClF6 | PBE | relaxed

a = 4.506 Å, b = 5.767 Å, c = 6.006 Å
α = 100.53°, β = 91.32°, γ = 104.84°
Atoms (fractional coordinates):
As (0.000, 0.000, 0.000)
Pd (0.002, 0.514, 0.486)
Cl (0.479, 0.436, 0.548)
F (0.147, 0.800, 0.776)
F (0.192, 0.908, 0.212)
F (0.321, 0.241, 0.991)
F (0.680, 0.761, 0.018)
F (0.807, 0.086, 0.785)
F (0.854, 0.205, 0.219)

Calculated values
- Density of states at the Fermi level: 4.9 states/eV per cell
- Uncorrected formation energy: -1.5766 eV per atom